No. 1
Crystalline TlH4Au at its relaxed geometry, computed with PBE.

The final energy is -74.05 eV per cell.

Cell: 7.281 12.663 4.825 Å, 90.00 127.37 90.00°
Space group C2/c (No. 15)
Inequivalent atoms, fractional coordinates:
Tl 0.000 0.182 0.250 x4
H 0.065 0.447 0.300 x8
H 0.066 0.351 0.812 x8
Au 0.000 0.057 0.750 x4

=====

No. 2
Crystalline ThCdNiAg at its relaxed geometry, computed with PBE.

For the energy relative to the elements, the calculation gives -0.13 eV per atom.

Cell: 6.952 6.952 6.952 Å, 90.00 90.00 90.00°
Space group F-43m (No. 216)
Inequivalent atoms, fractional coordinates:
Th 0.000 0.000 0.000 x4
Cd 0.000 0.000 0.500 x4
Ni 0.250 0.250 0.250 x4
Ag 0.250 0.250 0.750 x4

=====

No. 3
Crystalline TaCoGe2B at its relaxed geometry, computed with PBE.

For the energy relative to the elements, the calculation gives 0.78 eV per atom.

Cell: 4.598 4.598 3.633 Å, 90.00 90.00 90.00°
Space group P4/mmm (No. 123)
Inequivalent atoms, fractional coordinates:
Ta 0.000 0.000 0.000 x1
Co 0.500 0.500 0.500 x1
Ge 0.000 0.500 0.500 x2
B 0.500 0.500 0.000 x1

=====

Which DOS(E_F) belongs to each record? In order, 1.09; 13.55; 4.69 states/eV per cell.